Record 1
This record from Alexandria describes a crystal of Os2AuSe relaxed with PBEsol. The functional is meta-GGA SCAN.

Unit cell a=2.799 b=4.627 c=5.637 alpha=114.23 beta=104.37 gamma=90.00
Element x y z (fractional)
Au  0.261  0.761  0.522
Os  0.026  0.026  0.053
Os  0.741  0.241  0.482
Se  0.472  0.472  0.943

Results
Total magnetic moment, Bohr magnetons per cell: 0.0
DFT total energy, eV/atom: -57.421
SG: Imm2

---

Record 2
This record from Alexandria describes a crystal of BeRe2Ni relaxed with PBEsol. The functional is meta-GGA SCAN.

Unit cell a=2.587 b=4.537 c=4.537 alpha=112.55 beta=90.00 gamma=90.00
Element x y z (fractional)
Re  0.000  0.500  0.000
Re  0.000  0.000  0.500
Be  0.500  0.000  0.000
Ni  0.500  0.500  0.500

Results
Total magnetic moment, Bohr magnetons per cell: 0.0
DFT total energy, eV/atom: -40.571
SG: Cmmm

---

Record 3
This record from Alexandria describes a crystal of KNaAg2Ir relaxed with PBEsol. The functional is meta-GGA SCAN.

Unit cell a=4.671 b=4.807 c=4.807 alpha=90.00 beta=90.00 gamma=90.00
Element x y z (fractional)
Na  0.000  0.000  0.000
K  0.500  0.000  0.000
Ir  0.500  0.500  0.500
Ag  0.000  0.000  0.500
Ag  0.000  0.500  0.000

Results
Total magnetic moment, Bohr magnetons per cell: 0.0
DFT total energy, eV/atom: -27.868
SG: P4/mmm

---

Record 4
This record from Alexandria describes a crystal of Li11TiAs5 relaxed with PBEsol. The functional is meta-GGA SCAN.

Unit cell a=4.208 b=7.340 c=9.714 alpha=74.34 beta=77.49 gamma=73.34
Element x y z (fractional)
As  0.995  0.007  0.003
As  0.389  0.803  0.419
As  0.808  0.598  0.786
As  0.191  0.435  0.183
As  0.615  0.173  0.596
Li  0.197  0.685  0.920
Li  0.600  0.952  0.849
Li  0.605  0.440  0.350
Li  0.607  0.693  0.093
Li  0.991  0.764  0.254
Li  0.020  0.219  0.741
Li  0.417  0.524  0.641
Li  0.386  0.062  0.167
Li  0.388  0.303  0.922
Li  0.796  0.324  0.084
Li  0.196  0.173  0.434
Ti  0.798  0.846  0.558

Results
Total magnetic moment, Bohr magnetons per cell: 0.0
DFT total energy, eV/atom: -9.227
SG: Cm

---

Record 5
This record from Alexandria describes a crystal of La2TaBe relaxed with PBEsol. The functional is meta-GGA SCAN.

Unit cell a=3.387 b=3.387 c=8.242 alpha=90.00 beta=90.00 gamma=90.00
Element x y z (fractional)
Be  0.500  0.500  0.682
La  0.000  0.000  0.919
La  0.500  0.500  0.318
Ta  0.000  0.000  0.580

Results
Total magnetic moment, Bohr magnetons per cell: 0.0
DFT total energy, eV/atom: -39.016
SG: P4mm

---

Record 6
This record from Alexandria describes a crystal of Zr2InCu relaxed with PBEsol. The functional is meta-GGA SCAN.

Unit cell a=4.281 b=4.281 c=5.129 alpha=114.67 beta=114.67 gamma=90.00
Site moments in Bohr magnetons follow the coordinates.
Element x y z (fractional)
Cu  0.000  0.000  0.000  0.04
Zr  0.750  0.250  0.500  0.28
Zr  0.250  0.750  0.500  0.28
In  0.500  0.500  0.000  0.00

Results
Total magnetic moment, Bohr magnetons per cell: 0.9
DFT total energy, eV/atom: -27.744
SG: I4/mmm

---

Record 7
This record from Alexandria describes a crystal of Na3Hg relaxed with PBEsol. The functional is meta-GGA SCAN.

Unit cell a=5.397 b=6.846 c=6.846 alpha=120.00 beta=90.00 gamma=90.00
Element x y z (fractional)
Na  0.750  0.349  0.175
Na  0.750  0.825  0.651
Na  0.750  0.825  0.175
Na  0.250  0.651  0.825
Na  0.250  0.175  0.349
Na  0.250  0.175  0.825
Hg  0.250  0.667  0.333
Hg  0.750  0.333  0.667

Results
Total magnetic moment, Bohr magnetons per cell: 0.0
DFT total energy, eV/atom: -20.399
SG: P6_3/mmc

---

Record 8
This record from Alexandria describes a crystal of CuSi2Ni relaxed with PBEsol. The functional is meta-GGA SCAN.

Unit cell a=3.027 b=3.348 c=4.700 alpha=90.00 beta=90.00 gamma=90.00
Element x y z (fractional)
Cu  0.000  0.000  0.482
Ni  0.500  0.500  0.775
Si  0.000  0.000  0.976
Si  0.500  0.500  0.267

Results
Total magnetic moment, Bohr magnetons per cell: 0.0
DFT total energy, eV/atom: -12.954
SG: Pmm2

---

Record 9
This record from Alexandria describes a crystal of CaMnH3 relaxed with PBEsol. The functional is meta-GGA SCAN.

Unit cell a=4.040 b=4.040 c=4.040 alpha=90.00 beta=90.00 gamma=90.00
Site moments in Bohr magnetons follow the coordinates.
Element x y z (fractional)
H  0.000  0.500  0.000  0.02
H  0.000  0.000  0.500  0.02
H  0.500  0.000  0.000  0.02
Ca  0.000  0.000  0.000  0.02
Mn  0.500  0.500  0.500  4.71

Results
Total magnetic moment, Bohr magnetons per cell: 5.3
DFT total energy, eV/atom: -7.433
SG: Pm-3m

---

Record 10
This record from Alexandria describes a crystal of AlS2NCl6 relaxed with PBEsol. The functional is meta-GGA SCAN.

Unit cell a=6.239 b=13.045 c=13.159 alpha=90.00 beta=90.00 gamma=92.06
Element x y z (fractional)
Al  0.857  0.997  0.250
Al  0.025  0.466  0.250
Al  0.143  0.003  0.750
Al  0.975  0.534  0.750
S  0.656  0.840  0.585
S  0.232  0.352  0.525
S  0.344  0.160  0.415
S  0.232  0.352  0.975
S  0.344  0.160  0.085
S  0.768  0.648  0.025
S  0.656  0.840  0.915
S  0.768  0.648  0.475
N  0.243  0.258  0.044
N  0.757  0.742  0.956
N  0.243  0.258  0.456
N  0.757  0.742  0.544
Cl  0.334  0.403  0.250
Cl  0.040  0.080  0.616
Cl  0.853  0.421  0.114
Cl  0.945  0.368  0.750
Cl  0.988  0.153  0.250
Cl  0.853  0.421  0.386
Cl  0.055  0.632  0.250
Cl  0.385  0.867  0.993
Cl  0.615  0.133  0.007
Cl  0.012  0.847  0.750
Cl  0.508  0.640  0.117
Cl  0.960  0.920  0.384
Cl  0.512  0.003  0.250
Cl  0.960  0.920  0.116
Cl  0.666  0.597  0.750
Cl  0.508  0.640  0.383
Cl  0.040  0.080  0.884
Cl  0.488  0.997  0.750
Cl  0.615  0.133  0.493
Cl  0.385  0.867  0.507
Cl  0.492  0.360  0.617
Cl  0.147  0.579  0.614
Cl  0.147  0.579  0.886
Cl  0.492  0.360  0.883

Results
Total magnetic moment, Bohr magnetons per cell: 0.0
DFT total energy, eV/atom: -9.166
SG: P2_1/m

---

Record 11
This record from Alexandria describes a crystal of LiMn2OF3 relaxed with PBEsol. The functional is meta-GGA SCAN.

Unit cell a=6.169 b=6.169 c=6.278 alpha=60.57 beta=60.57 gamma=60.00
Site moments in Bohr magnetons follow the coordinates.
Element x y z (fractional)
Li  0.648  0.648  0.056  0.00
Li  0.352  0.352  0.944  0.00
Mn  0.000  0.000  0.000  4.62
Mn  0.000  0.500  0.500  4.56
Mn  0.000  0.000  0.500  4.56
Mn  0.500  0.000  0.500  4.56
O  0.777  0.777  0.669  0.09
O  0.223  0.223  0.331  0.09
F  0.741  0.241  0.778  0.10
F  0.759  0.259  0.222  0.10
F  0.241  0.241  0.778  0.10
F  0.259  0.759  0.222  0.10
F  0.759  0.759  0.222  0.10
F  0.241  0.741  0.778  0.10

Results
Total magnetic moment, Bohr magnetons per cell: 20.0
DFT total energy, eV/atom: -10.554
SG: R-3m

---

Record 12
This record from Alexandria describes a crystal of LaSc2GeC relaxed with PBEsol. The functional is meta-GGA SCAN.

Unit cell a=4.886 b=4.886 c=5.617 alpha=90.00 beta=90.00 gamma=90.00
Element x y z (fractional)
Sc  0.000  0.500  0.000
Sc  0.500  0.000  0.000
Ge  0.000  0.000  0.000
C  0.500  0.500  0.500
La  0.000  0.000  0.500

Results
Total magnetic moment, Bohr magnetons per cell: 0.0
DFT total energy, eV/atom: -19.236
SG: P4/mmm